Entry from Alexandria: SbIrO6 after structural relaxation (PBE).

Cell lengths 4.9899, 4.9899, 13.2933 Å; angles 90.00, 90.00, 120.00 degrees
Last column: nearest neighbours and their distance in Å.
Space group R-3 (No. 148, hexagonal axes)
One atom of each set of equivalent atoms:
Sb 0.0000 0.0000 0.0000 [3 per cell]  6 O 2.02
Ir 0.0000 0.0000 0.5000 [3 per cell]  6 O 1.91
O 0.0121 0.3209 0.5815 [18 per cell]  1 Ir 1.91, 1 Sb 2.02

Properties
As for the total magnetization: 0.000 μB/atom. As for the crystal system: trigonal. For the total energy, the calculation gives -144.658 eV/cell. For the uncorrected formation energy, the calculation gives -686 meV/atom.